No. 1
Entry from OQMD: Tm2MgOs3 after structural relaxation (GGA-PBE).

It has space group P6_3/mmc (No. 194), with a = 5.3347 Å, b = 5.3347 Å, c = 8.8794 Å, α = 90.00°, β = 90.00° and γ = 120.00°. The inequivalent atoms are Tm at (0.3333, 0.6667, 0.0712), Mg at (0.0000, 0.0000, 0.0000) and Os at (0.1704, 0.3408, 0.7500).

The magnetic moment is 0.0 μB per formula unit. Its total energy is -7.593 eV/atom.


No. 2
Entry from OQMD: CsKAsAu after structural relaxation (GGA-PBE).

It has space group F-43m (No. 216), with a = 7.847 Å, b = 7.847 Å, c = 7.847 Å, α = 90.00°, β = 90.00° and γ = 90.00°. The inequivalent atoms are Cs at (0.000, 0.000, 0.000), K at (0.250, 0.250, 0.750), As at (0.000, 0.000, 0.500) and Au at (0.250, 0.250, 0.250).

The energy above the most stable polymorph in this dataset is 1.83 eV/f.u. Its total energy is -2.511 eV/atom.


No. 3
Entry from OQMD: ZnGaSi2 after structural relaxation (GGA-PBE).

It has space group F-43m (No. 216), with a = 6.382 Å, b = 6.382 Å, c = 6.382 Å, α = 90.00°, β = 90.00° and γ = 90.00°. The inequivalent atoms are Zn at (0.000, 0.000, 0.000), Ga at (0.250, 0.250, 0.750), Si at (0.000, 0.000, 0.500) and Si at (0.250, 0.250, 0.250).

Its total energy is -3.408 eV/atom.


No. 4
Entry from OQMD: NdNiS3 after structural relaxation (GGA-PBE).

It has space group P2_1/c (No. 14), with a = 6.223 Å, b = 8.416 Å, c = 7.650 Å, α = 90.00°, β = 105.02° and γ = 90.00°. The inequivalent atoms are Nd at (0.171, 0.107, 0.292), Ni at (0.427, 0.672, 0.536), S at (0.113, 0.687, 0.980), S at (0.237, 0.051, 0.935) and S at (0.477, 0.160, 0.656).

The magnetic moment is 0.0 μB per formula unit. Its total energy is -5.592 eV/atom.


No. 5
Entry from OQMD: InTcHg2 after structural relaxation (GGA-PBE).

It has space group F-43m (No. 216), with a = 6.883 Å, b = 6.883 Å, c = 6.883 Å, α = 90.00°, β = 90.00° and γ = 90.00°. The inequivalent atoms are In at (0.000, 0.000, 0.000), Tc at (0.250, 0.250, 0.250), Hg at (0.000, 0.000, 0.500) and Hg at (0.250, 0.250, 0.750).

The magnetic moment is 1.7 μB per formula unit. Its total energy is -2.759 eV/atom.


No. 6
Entry from OQMD: Pr3Mg3CdIn2 after structural relaxation (GGA-PBE).

It has space group Amm2 (No. 38), with a = 4.780 Å, b = 13.405 Å, c = 7.750 Å, α = 90.00°, β = 90.00° and γ = 90.00°. The inequivalent atoms are Pr at (0.000, 0.000, 0.000), Pr at (0.000, 0.211, 0.633), Mg at (0.500, 0.000, 0.661), Mg at (0.500, 0.120, 0.302), Cd at (0.000, 0.000, 0.421) and In at (0.500, 0.166, 0.922).

The magnetic moment is 0.0 μB per formula unit. Its total energy is -3.206 eV/atom.


No. 7
Entry from OQMD: Dy3Ni2B2P3 after structural relaxation (GGA-PBE).

It has space group I4/mmm (No. 139), with a = 3.932 Å, b = 3.932 Å, c = 21.282 Å, α = 90.00°, β = 90.00° and γ = 90.00°. The inequivalent atoms are Dy at (0.000, 0.000, 0.000), Dy at (0.000, 0.000, 0.363), Ni at (0.000, 0.500, 0.250), B at (0.000, 0.000, 0.219), P at (0.000, 0.000, 0.128) and P at (0.000, 0.000, 0.500).

The magnetic moment is 0.0 μB per formula unit. Its total energy is -6.367 eV/atom.


No. 8
Entry from OQMD: ZrBe after structural relaxation (GGA-PBE).

It has space group P-6m2 (No. 187), with a = 2.8980 Å, b = 2.8980 Å, c = 4.6397 Å, α = 90.00°, β = 90.00° and γ = 120.00°. The inequivalent atoms are Zr at (0.0000, 0.0000, 0.0000) and Be at (0.3333, 0.6667, 0.5000).

The magnetic moment is 0.0 μB per formula unit. Its total energy is -5.732 eV/atom.


No. 9
Entry from OQMD: Fe2GeS3 after structural relaxation (GGA-PBE).

It has space group Cmcm (No. 63), with a = 3.396 Å, b = 12.146 Å, c = 8.914 Å, α = 90.00°, β = 90.00° and γ = 90.00°. The inequivalent atoms are Fe at (0.000, 0.000, 0.000), Fe at (0.000, 0.463, 0.250), Ge at (0.000, 0.216, 0.750), S at (0.000, 0.074, 0.250) and S at (0.000, 0.371, 0.041).

The magnetic moment is 2.3 μB per formula unit. Its total energy is -5.762 eV/atom.


No. 10
Entry from OQMD: PmTmNO after structural relaxation (GGA-PBE).

It has space group Pmma (No. 51), with a = 4.899 Å, b = 3.997 Å, c = 6.947 Å, α = 90.00°, β = 90.00° and γ = 90.00°. The inequivalent atoms are Pm at (0.250, 0.000, 0.164), Tm at (0.250, 0.500, 0.665), N at (0.250, 0.500, 0.346) and O at (0.250, 0.000, 0.804).

The magnetic moment is 0.0 μB per formula unit. The energy above the most stable polymorph in this dataset is 0.00 eV/f.u. Its total energy is -7.825 eV/atom.


No. 11
Entry from OQMD: SmSiW after structural relaxation (GGA-PBE).

It has space group F-43m (No. 216), with a = 6.740 Å, b = 6.740 Å, c = 6.740 Å, α = 90.00°, β = 90.00° and γ = 90.00°. The inequivalent atoms are Sm at (0.000, 0.000, 0.000), Si at (0.250, 0.250, 0.750) and W at (0.250, 0.250, 0.250).

The magnetic moment is 2.9 μB per formula unit. Its total energy is -6.191 eV/atom.


No. 12
Entry from OQMD: HfInCoCu after structural relaxation (GGA-PBE).

It has space group F-43m (No. 216), with a = 6.297 Å, b = 6.297 Å, c = 6.297 Å, α = 90.00°, β = 90.00° and γ = 90.00°. The inequivalent atoms are Hf at (0.000, 0.000, 0.000), In at (0.000, 0.000, 0.500), Co at (0.250, 0.250, 0.750) and Cu at (0.250, 0.250, 0.250).

The magnetic moment is 0.0 μB per formula unit. The energy above the most stable polymorph in this dataset is 0.00 eV/f.u. Its total energy is -6.061 eV/atom.